The following is a DFT calculation (PBE-GGA) of a relaxed CePr3Th2As6 crystal.

Summary:
**Total magnetization**: 0.8 μB per formula unit
**Formation energy**: -143 kJ per mole of atoms
**Raw total energy**: -6.730 eV per atom

Lattice parameters (Å, degrees): 7.409 12.837 7.403 90.00 109.48 90.00
Space group C2/m (No. 12)
Inequivalent atoms, fractional coordinates:
1 Ce 0.000 0.000 0.000 x2
2 Pr 0.000 0.166 0.500 x4
3 Pr 0.000 0.500 0.500 x2
4 Th 0.000 0.333 0.000 x4
5 As 0.248 0.166 0.244 x8
6 As 0.248 0.500 0.243 x4